# Tb3CeRu8

A relaxed structure of Tb3CeRu8 (PBE, Alexandria via LeMat-Bulk).

Calculated values
ΔH_f (0 K), eV per atom: -0.28
Calculated total energy, eV/cell: -97.39
SG: Cm

POSCAR file:
```
Tb3CeRu8
1.0
-5.0503 0.5269 1.6561
-1.1269 -0.1584 5.2184
-0.9946 8.8260 2.7933
Ru Tb Ce
8 3 1
Direct
0.6877 0.6877 0.9371
0.4359 0.9377 0.6886
0.9384 0.4376 0.1864
0.1875 0.1875 0.4376
0.9377 0.9377 0.6888
0.4376 0.4376 0.1863
0.9377 0.4359 0.6886
0.4376 0.9384 0.1864
0.9999 0.9999 0.9999
0.3754 0.3754 0.8741
0.4997 0.4997 0.5004
0.8749 0.8749 0.3758
```

---

# Tb2PmPr

A relaxed structure of Tb2PmPr (PBE, Alexandria via LeMat-Bulk).

Calculated values
ΔH_f (0 K), eV per atom: 0.02
Calculated total energy, eV/cell: -18.72
SG: P4/mmm
Polymorph energy (0 for the lowest one), eV per atom: 0.006

POSCAR file:
```
Tb2PmPr
1.0
-0.1894 3.5732 0.5837
-2.7053 -0.5281 2.3551
6.7847 -0.8814 7.5960
Tb Pr Pm
2 1 1
Direct
0.0000 0.0000 0.7523
0.0000 0.0000 0.2477
0.5000 0.5000 0.5000
0.5000 0.5000 0.0000
```

---

# CrInRu2

A relaxed structure of CrInRu2 (PBE, Alexandria via LeMat-Bulk).

Calculated values
ΔH_f (0 K), eV per atom: 0.40
Calculated total energy, eV/cell: -29.33
SG: Pmmm

POSCAR file:
```
CrInRu2
1.0
3.1029 0.0000 0.0000
0.0000 4.6248 0.0000
0.0000 0.0000 4.3311
Ru Cr In
2 1 1
Direct
0.0000 0.0000 0.0000
0.5000 0.5000 0.0000
0.5000 0.0000 0.5000
0.0000 0.5000 0.5000
```

---

# CsK3B

A relaxed structure of CsK3B (PBE, Alexandria via LeMat-Bulk).

Calculated values
ΔH_f (0 K), eV per atom: 0.72
Calculated total energy, eV/cell: -7.20
SG: Pm-3m
Polymorph energy (0 for the lowest one), eV per atom: 0.000

POSCAR file:
```
CsK3B
1.0
6.5426 0.0000 0.0000
0.0000 6.5426 0.0000
0.0000 0.0000 6.5426
K B Cs
3 1 1
Direct
0.5000 0.0000 0.0000
0.0000 0.5000 0.0000
0.0000 0.0000 0.5000
0.0000 0.0000 0.0000
0.5000 0.5000 0.5000
```

---

# La5Sm2Er4

A relaxed structure of La5Sm2Er4 (PBE, Alexandria via LeMat-Bulk).

Calculated values
ΔH_f (0 K), eV per atom: 0.16
Calculated total energy, eV/cell: -50.52
SG: Immm
Polymorph energy (0 for the lowest one), eV per atom: 0.087

POSCAR file:
```
La5Sm2Er4
1.0
-1.1106 3.0079 1.5559
-8.7663 -3.0485 -0.3641
6.2449 -5.0093 10.0599
Sm La Er
2 5 4
Direct
0.2687 0.2687 0.5374
0.7313 0.7313 0.4626
0.8547 0.0559 0.7094
0.8547 0.6536 0.7094
0.5000 0.0000 0.0000
0.1453 0.9441 0.2906
0.1453 0.3464 0.2906
0.0000 0.3176 0.0000
0.4042 0.4042 0.8084
0.5958 0.5958 0.1916
0.0000 0.6824 0.0000
```

---

# CeZrOsPd

A relaxed structure of CeZrOsPd (PBE, Alexandria via LeMat-Bulk).

Calculated values
ΔH_f (0 K), eV per atom: -0.37
Calculated total energy, eV/cell: -32.39
SG: F-43m

POSCAR file:
```
CeZrOsPd
1.0
4.8268 0.0000 0.0000
2.4134 4.1801 0.0000
2.4134 1.3934 3.9410
Ce Pd Os Zr
1 1 1 1
Direct
0.2500 0.2500 0.2500
0.0000 0.0000 0.0000
0.5000 0.5000 0.5000
0.7500 0.7500 0.7500
```